PuHfPt: optimized geometry, GGA-PBE.

Formation energy from the elements: -386 meV/atom
Distance to the lowest polymorph of the same formula: 0.000 eV/atom
Electronic total energy: -31.297 eV per cell
M_tot: 5.9 μB/f.u.

a b c (Å): 4.7062 4.7062 4.7062
angles (deg): 60.00 60.00 60.00
With the nearest neighbours (Å) after each atom.
Positions (direct):
Hf: 0.2500 0.2500 0.2500  4 Pt 2.88
Pt: 0.0000 0.0000 0.0000  4 Hf 2.88, 4 Pu 2.88
Pu: 0.7500 0.7500 0.7500  4 Pt 2.88

***

CdNiPbS3: optimized geometry, GGA-PBE.

Distance to the lowest polymorph of the same formula: 0.031 eV/atom
Electronic total energy: -48.339 eV per cell
M_tot: 0.0 μB/f.u.

a b c (Å): 7.5022 7.5022 10.9997
angles (deg): 90.00 90.00 152.63
With the nearest neighbours (Å) after each atom.
Positions (direct):
Cd: 0.5353 0.4647 0.2500  4 S 2.59-2.60
Cd: 0.4647 0.5353 0.7500  4 S 2.59-2.60
Ni: 0.0000 0.0000 0.0000  4 S 2.27
Ni: 0.0000 0.0000 0.5000  4 S 2.27
Pb: 0.8046 0.1954 0.2500  2 S 2.71
Pb: 0.1954 0.8046 0.7500  2 S 2.71
S: 0.4192 0.5808 0.0706  2 Ni 2.27
S: 0.1645 0.8355 0.2500  2 Cd 2.59, 2 Pb 2.71
S: 0.4192 0.5808 0.4294  2 Ni 2.27
S: 0.5808 0.4192 0.5706  2 Ni 2.27
S: 0.8355 0.1645 0.7500  2 Cd 2.59, 2 Pb 2.71
S: 0.5808 0.4192 0.9294  2 Ni 2.27

***

PuTaPd: optimized geometry, GGA-PBE.

Formation energy from the elements: 521 meV/atom
Distance to the lowest polymorph of the same formula: 0.000 eV/atom
Electronic total energy: -29.592 eV per cell
M_tot: 5.8 μB/f.u.

a b c (Å): 4.4822 4.4822 4.4822
angles (deg): 60.00 60.00 60.00
With the nearest neighbours (Å) after each atom.
Positions (direct):
Pd: 0.0000 0.0000 0.0000  4 Ta 2.74, 4 Pu 2.74
Pu: 0.2500 0.2500 0.2500  4 Pd 2.74
Ta: 0.7500 0.7500 0.7500  4 Pd 2.74

***

Tm2ZrIn: optimized geometry, GGA-PBE.

Electronic total energy: -21.029 eV per cell
M_tot: 0.2 μB/f.u.

a b c (Å): 4.6462 4.6462 4.6559
angles (deg): 90.00 90.00 90.00
With the nearest neighbours (Å) after each atom.
Positions (direct):
In: 0.0000 0.0000 0.0000  4 Zr 3.29, 8 Tm 3.29
Tm: 0.5000 0.0000 0.5000  4 Tm 3.29, 4 Zr 3.29, 4 In 3.29
Tm: 0.0000 0.5000 0.5000  4 Tm 3.29, 4 Zr 3.29, 4 In 3.29
Zr: 0.5000 0.5000 0.0000  4 In 3.29, 8 Tm 3.29

***

Tm: optimized geometry, GGA-PBE.

Formation energy from the elements: 32 meV/atom
Distance to the lowest polymorph of the same formula: 0.032 eV/atom
Electronic total energy: -4.443 eV per cell
M_tot: 0.0 μB/f.u.

a b c (Å): 3.4574 3.4574 3.4844
angles (deg): 119.74 119.74 90.00
With the nearest neighbours (Å) after each atom.
Positions (direct):
Tm: 0.0000 0.0000 0.0000  12 Tm 3.46-3.48

***

Cu5Ag4: optimized geometry, GGA-PBE.

Formation energy from the elements: 99 meV/atom
Distance to the lowest polymorph of the same formula: 0.058 eV/atom
Electronic total energy: -28.993 eV per cell

a b c (Å): 4.7367 4.7367 8.1754
angles (deg): 106.38 106.38 48.83
With the nearest neighbours (Å) after each atom.
Positions (direct):
Ag: 0.3234 0.3234 0.0958  8 Cu 2.61-2.86, 4 Ag 2.75-2.87
Ag: 0.6579 0.6579 0.2205  7 Cu 2.70-2.82, 5 Ag 2.75-2.82
Ag: 0.3355 0.3355 0.4503  7 Cu 2.70-2.77, 5 Ag 2.79-2.87
Ag: 0.0112 0.0112 0.6763  10 Cu 2.64-2.78, 2 Ag 2.79
Cu: 0.0017 0.0017 0.3354  9 Ag 2.70-2.86, 3 Cu 2.78-2.80
Cu: 0.6728 0.6728 0.5661  5 Cu 2.59-2.80, 7 Ag 2.71-2.79
Cu: 0.3400 0.3400 0.7820  5 Ag 2.61-2.75, 7 Cu 2.66-2.73
Cu: 0.6678 0.6678 0.8817  7 Cu 2.59-2.80, 5 Ag 2.66-2.80
Cu: 0.9897 0.9897 0.9920  6 Cu 2.64-2.80, 6 Ag 2.64-2.78

***

YCuSbIr: optimized geometry, GGA-PBE.

Distance to the lowest polymorph of the same formula: 0.119 eV/atom
Electronic total energy: -24.290 eV per cell
M_tot: 0.0 μB/f.u.

a b c (Å): 4.7174 4.7174 4.7174
angles (deg): 60.00 60.00 60.00
With the nearest neighbours (Å) after each atom.
Positions (direct):
Cu: 0.7500 0.7500 0.7500  4 Y 2.89, 4 Ir 2.89
Ir: 0.0000 0.0000 0.0000  4 Sb 2.89, 4 Cu 2.89
Sb: 0.2500 0.2500 0.2500  4 Y 2.89, 4 Ir 2.89
Y: 0.5000 0.5000 0.5000  4 Cu 2.89, 4 Sb 2.89

***

CdGeSO: optimized geometry, GGA-PBE.

Distance to the lowest polymorph of the same formula: 0.031 eV/atom
Electronic total energy: -70.301 eV per cell

a b c (Å): 5.8373 7.2504 7.2358
angles (deg): 90.00 90.00 90.00
With the nearest neighbours (Å) after each atom.
Positions (direct):
Cd: 0.2207 0.6736 0.1613  1 O 2.25, 1 S 2.51
Cd: 0.7793 0.1736 0.3387  1 O 2.25, 1 S 2.51
Cd: 0.2793 0.3264 0.6613  1 O 2.25, 1 S 2.51
Cd: 0.7207 0.8264 0.8387  1 O 2.25, 1 S 2.51
Ge: 0.3078 0.1320 0.0956  2 O 1.90-1.97
Ge: 0.6922 0.6320 0.4044  2 O 1.90-1.97
Ge: 0.1922 0.8680 0.5956  2 O 1.90-1.97
Ge: 0.8078 0.3680 0.9044  2 O 1.90-1.97
O: 0.6009 0.2658 0.0793  2 Ge 1.90-1.97
O: 0.3991 0.7658 0.4207  2 Ge 1.90-1.97
O: 0.8991 0.7342 0.5793  2 Ge 1.90-1.97
O: 0.1009 0.2342 0.9207  2 Ge 1.90-1.97
S: 0.8428 0.8504 0.1711  1 Ge 2.48, 3 Cd 2.51-2.66
S: 0.1572 0.3504 0.3289  1 Ge 2.48, 3 Cd 2.51-2.66
S: 0.6572 0.1496 0.6711  1 Ge 2.48, 3 Cd 2.51-2.66
S: 0.3428 0.6496 0.8289  1 Ge 2.48, 3 Cd 2.51-2.66

***

Nd2Fe14B: optimized geometry, GGA-PBE.

Distance to the lowest polymorph of the same formula: 0.000 eV/atom
Electronic total energy: -533.929 eV per cell
M_tot: 31.1 μB/f.u.

a b c (Å): 8.7633 8.7633 12.1370
angles (deg): 90.00 90.00 90.00
With the nearest neighbours (Å) after each atom.
Positions (direct):
B: 0.8764 0.1236 0.0000  6 Fe 2.07-2.10
B: 0.1236 0.8764 0.0000  6 Fe 2.07-2.10
B: 0.3764 0.3764 0.5000  6 Fe 2.07-2.10
B: 0.6236 0.6236 0.5000  6 Fe 2.07-2.10
Fe: 0.5000 0.0000 0.0000  8 Fe 2.49-2.57
Fe: 0.0000 0.5000 0.0000  8 Fe 2.49-2.57
Fe: 0.0000 0.0000 0.1145  2 B 2.07
Fe: 0.7247 0.0673 0.1277  1 B 2.10
Fe: 0.9327 0.2753 0.1277  1 B 2.10
Fe: 0.0673 0.7247 0.1277  1 B 2.10
Fe: 0.2753 0.9327 0.1277  1 B 2.10
Fe: 0.4632 0.1399 0.1763  10 Fe 2.39-2.65
Fe: 0.1399 0.4632 0.1763  10 Fe 2.39-2.65
Fe: 0.8601 0.5368 0.1763  10 Fe 2.39-2.65
Fe: 0.5368 0.8601 0.1763  10 Fe 2.39-2.65
Fe: 0.4023 0.4023 0.2052  8 Fe 2.39-2.63
Fe: 0.5977 0.5977 0.2052  8 Fe 2.39-2.63
Fe: 0.1823 0.1823 0.2457  12 Fe 2.63-2.77
Fe: 0.8177 0.8177 0.2457  12 Fe 2.63-2.77
Fe: 0.6823 0.3177 0.2543  12 Fe 2.63-2.77
Fe: 0.3177 0.6823 0.2543  12 Fe 2.63-2.77
Fe: 0.9023 0.0977 0.2948  8 Fe 2.39-2.63
Fe: 0.0977 0.9023 0.2948  8 Fe 2.39-2.63
Fe: 0.6399 0.0368 0.3237  10 Fe 2.39-2.65
Fe: 0.9632 0.3601 0.3237  10 Fe 2.39-2.65
Fe: 0.0368 0.6399 0.3237  10 Fe 2.39-2.65
Fe: 0.3601 0.9632 0.3237  10 Fe 2.39-2.65
Fe: 0.4327 0.2247 0.3723  1 B 2.10
Fe: 0.2247 0.4327 0.3723  1 B 2.10
Fe: 0.7753 0.5673 0.3723  1 B 2.10
Fe: 0.5673 0.7753 0.3723  1 B 2.10
Fe: 0.5000 0.5000 0.3855  2 B 2.07
Fe: 0.5000 0.0000 0.5000  8 Fe 2.49-2.57
Fe: 0.0000 0.5000 0.5000  8 Fe 2.49-2.57
Fe: 0.5000 0.5000 0.6145  2 B 2.07
Fe: 0.4327 0.2247 0.6277  1 B 2.10
Fe: 0.2247 0.4327 0.6277  1 B 2.10
Fe: 0.7753 0.5673 0.6277  1 B 2.10
Fe: 0.5673 0.7753 0.6277  1 B 2.10
Fe: 0.6399 0.0368 0.6763  10 Fe 2.39-2.65
Fe: 0.9632 0.3601 0.6763  10 Fe 2.39-2.65
Fe: 0.0368 0.6399 0.6763  10 Fe 2.39-2.65
Fe: 0.3601 0.9632 0.6763  10 Fe 2.39-2.65
Fe: 0.9023 0.0977 0.7052  8 Fe 2.39-2.63
Fe: 0.0977 0.9023 0.7052  8 Fe 2.39-2.63
Fe: 0.6823 0.3177 0.7457  12 Fe 2.63-2.77
Fe: 0.3177 0.6823 0.7457  12 Fe 2.63-2.77
Fe: 0.1823 0.1823 0.7543  12 Fe 2.63-2.77
Fe: 0.8177 0.8177 0.7543  12 Fe 2.63-2.77
Fe: 0.4023 0.4023 0.7948  8 Fe 2.39-2.63
Fe: 0.5977 0.5977 0.7948  8 Fe 2.39-2.63
Fe: 0.4632 0.1399 0.8237  10 Fe 2.39-2.65
Fe: 0.1399 0.4632 0.8237  10 Fe 2.39-2.65
Fe: 0.8601 0.5368 0.8237  10 Fe 2.39-2.65
Fe: 0.5368 0.8601 0.8237  10 Fe 2.39-2.65
Fe: 0.7247 0.0673 0.8723  1 B 2.10
Fe: 0.9327 0.2753 0.8723  1 B 2.10
Fe: 0.0673 0.7247 0.8723  1 B 2.10
Fe: 0.2753 0.9327 0.8723  1 B 2.10
Fe: 0.0000 0.0000 0.8855  2 B 2.07
Nd: 0.2318 0.2318 0.0000  16 Fe 3.04-3.27, 2 B 3.26
Nd: 0.6427 0.3573 0.0000  1 B 2.90, 6 Fe 3.06-3.13
Nd: 0.3573 0.6427 0.0000  1 B 2.90, 6 Fe 3.06-3.13
Nd: 0.7682 0.7682 0.0000  16 Fe 3.04-3.27, 2 B 3.26
Nd: 0.1427 0.1427 0.5000  1 B 2.90, 6 Fe 3.06-3.13
Nd: 0.7318 0.2682 0.5000  16 Fe 3.04-3.27, 2 B 3.26
Nd: 0.2682 0.7318 0.5000  16 Fe 3.04-3.27, 2 B 3.26
Nd: 0.8573 0.8573 0.5000  1 B 2.90, 6 Fe 3.06-3.13

***

Hf4ZnBiN2: optimized geometry, GGA-PBE.

Electronic total energy: -68.736 eV per cell
M_tot: 0.0 μB/f.u.

a b c (Å): 3.2957 3.2957 14.1051
angles (deg): 90.00 90.00 120.00
With the nearest neighbours (Å) after each atom.
Positions (direct):
Bi: 0.3333 0.6667 0.0000  6 Hf 3.09, 6 Bi 3.30
Hf: 0.6667 0.3333 0.1723  3 N 2.28
Hf: 0.3333 0.6667 0.3444  3 N 2.23
Hf: 0.3333 0.6667 0.6556  3 N 2.23
Hf: 0.6667 0.3333 0.8277  3 N 2.28
N: 0.0000 0.0000 0.2613  6 Hf 2.23-2.28
N: 0.0000 0.0000 0.7387  6 Hf 2.23-2.28
Zn: 0.6667 0.3333 0.5000  6 Hf 2.90

***

CuBi2Pd: optimized geometry, GGA-PBE.

Electronic total energy: -15.951 eV per cell

a b c (Å): 5.0342 5.0342 5.0342
angles (deg): 60.00 60.00 60.00
With the nearest neighbours (Å) after each atom.
Positions (direct):
Bi: 0.0000 0.0000 0.0000  4 Cu 3.08, 4 Bi 3.08
Bi: 0.7500 0.7500 0.7500  4 Pd 3.08, 4 Bi 3.08
Cu: 0.2500 0.2500 0.2500  4 Bi 3.08, 4 Pd 3.08
Pd: 0.5000 0.5000 0.5000  4 Bi 3.08, 4 Cu 3.08

***

Nd3Zn2P4Au2: optimized geometry, GGA-PBE.

Electronic total energy: -54.068 eV per cell
M_tot: 0.0 μB/f.u.

a b c (Å): 4.1914 4.1914 15.0621
angles (deg): 90.00 90.00 120.00
With the nearest neighbours (Å) after each atom.
Positions (direct):
Au: 0.6667 0.3333 0.1315  3 P 2.44
Au: 0.3333 0.6667 0.8685  3 P 2.44
Nd: 0.0000 0.0000 0.0000  6 Au 3.13, 6 P 3.35
Nd: 0.0000 0.0000 0.2800  6 P 3.01-3.08, 3 Au 3.30
Nd: 0.0000 0.0000 0.7200  6 P 3.01-3.08, 3 Au 3.30
P: 0.3333 0.6667 0.1540  3 Au 2.44
P: 0.6667 0.3333 0.3986  4 Zn 2.48-2.49
P: 0.3333 0.6667 0.6014  4 Zn 2.48-2.49
P: 0.6667 0.3333 0.8460  3 Au 2.44
Zn: 0.3333 0.6667 0.4366  4 P 2.48-2.49
Zn: 0.6667 0.3333 0.5634  4 P 2.48-2.49

***

Hf2CoAu: optimized geometry, GGA-PBE.

Formation energy from the elements: -105 meV/atom
Electronic total energy: -30.705 eV per cell
M_tot: 0.0 μB/f.u.

a b c (Å): 4.5691 4.5691 4.5691
angles (deg): 60.00 60.00 60.00
With the nearest neighbours (Å) after each atom.
Positions (direct):
Au: 0.5000 0.5000 0.5000  4 Hf 2.80, 4 Co 2.80
Co: 0.7500 0.7500 0.7500  4 Au 2.80, 4 Hf 2.80
Hf: 0.0000 0.0000 0.0000  4 Hf 2.80, 4 Co 2.80
Hf: 0.2500 0.2500 0.2500  4 Au 2.80, 4 Hf 2.80

***

NdTmW: optimized geometry, GGA-PBE.

Formation energy from the elements: 857 meV/atom
Distance to the lowest polymorph of the same formula: 0.000 eV/atom
Electronic total energy: -19.627 eV per cell
M_tot: 0.0 μB/f.u.

a b c (Å): 4.8949 4.8949 4.8949
angles (deg): 60.00 60.00 60.00
With the nearest neighbours (Å) after each atom.
Positions (direct):
Nd: 0.2500 0.2500 0.2500  4 W 3.00
Tm: 0.7500 0.7500 0.7500  4 W 3.00
W: 0.0000 0.0000 0.0000  4 Nd 3.00, 4 Tm 3.00

***

ZrNiB: optimized geometry, GGA-PBE.

Electronic total energy: -18.996 eV per cell
M_tot: 0.0 μB/f.u.

a b c (Å): 4.0624 4.0624 4.0624
angles (deg): 60.00 60.00 60.00
With the nearest neighbours (Å) after each atom.
Positions (direct):
B: 0.2500 0.2500 0.2500  4 Zr 2.49
Ni: 0.7500 0.7500 0.7500  4 Zr 2.49
Zr: 0.0000 0.0000 0.0000  4 Ni 2.49, 4 B 2.49

***

ZnPOsO: optimized geometry, GGA-PBE.

Distance to the lowest polymorph of the same formula: 0.905 eV/atom
Electronic total energy: -42.884 eV per cell
M_tot: 0.0 μB/f.u.

a b c (Å): 3.4337 3.4337 8.7661
angles (deg): 90.00 90.00 90.00
With the nearest neighbours (Å) after each atom.
Positions (direct):
O: 0.0000 0.0000 0.0000  4 Os 2.17, 4 O 2.43
O: 0.5000 0.5000 0.0000  4 Os 2.17, 4 O 2.43
Os: 0.5000 0.0000 0.1520  4 O 2.17
Os: 0.0000 0.5000 0.8480  4 O 2.17
P: 0.0000 0.5000 0.2680  4 Os 2.63, 4 Zn 2.66, 4 O 2.91
P: 0.5000 0.0000 0.7320  4 Os 2.63, 4 Zn 2.66, 4 O 2.91
Zn: 0.0000 0.0000 0.5000  4 Zn 2.43, 4 P 2.66
Zn: 0.5000 0.5000 0.5000  4 Zn 2.43, 4 P 2.66

***

NdYCl3: optimized geometry, GGA-PBE.

Electronic total energy: -50.491 eV per cell
M_tot: 2.2 μB/f.u.

a b c (Å): 8.0368 8.0368 10.5201
angles (deg): 117.41 117.41 28.17
With the nearest neighbours (Å) after each atom.
Positions (direct):
Cl: 0.6552 0.6552 0.0096  3 Nd 2.87-2.93
Cl: 0.0508 0.0508 0.2460  2 Y 2.75, 1 Nd 2.81
Cl: 0.7743 0.7743 0.3888  1 Nd 2.80, 2 Y 2.81
Cl: 0.2257 0.2257 0.6112  1 Nd 2.80, 2 Y 2.81
Cl: 0.9492 0.9492 0.7540  2 Y 2.75, 1 Nd 2.81
Cl: 0.3448 0.3448 0.9904  3 Nd 2.87-2.93
Nd: 0.8599 0.8599 0.2077  5 Cl 2.80-2.93
Nd: 0.1401 0.1401 0.7923  5 Cl 2.80-2.93
Y: 0.5874 0.5874 0.4497  4 Cl 2.75-2.81
Y: 0.4126 0.4126 0.5503  4 Cl 2.75-2.81

***

DyS3Cl: optimized geometry, GGA-PBE.

Distance to the lowest polymorph of the same formula: 0.000 eV/atom
Electronic total energy: -48.122 eV per cell
M_tot: 0.0 μB/f.u.

a b c (Å): 7.1940 7.1940 6.6565
angles (deg): 105.02 105.02 103.42
With the nearest neighbours (Å) after each atom.
Positions (direct):
Cl: 0.0563 0.0563 0.2900  2 Dy 2.62
Cl: 0.9437 0.9437 0.7100  2 Dy 2.62
Dy: 0.8293 0.1707 0.0000  2 Cl 2.62, 4 S 2.67-2.71
Dy: 0.1707 0.8293 0.0000  2 Cl 2.62, 4 S 2.67-2.71
S: 0.5145 0.1504 0.1459  2 S 2.43-2.56, 2 Dy 2.67-2.71
S: 0.1504 0.5145 0.1459  2 S 2.43-2.56, 2 Dy 2.67-2.71
S: 0.4967 0.4967 0.3512  1 S 1.96
S: 0.5033 0.5033 0.6488  1 S 1.96
S: 0.8496 0.4855 0.8541  2 S 2.43-2.56, 2 Dy 2.67-2.71
S: 0.4855 0.8496 0.8541  2 S 2.43-2.56, 2 Dy 2.67-2.71

***

HfBeRe: optimized geometry, GGA-PBE.

Distance to the lowest polymorph of the same formula: 0.441 eV/atom
Electronic total energy: -22.603 eV per cell
M_tot: 0.1 μB/f.u.

a b c (Å): 4.3085 4.3085 4.3085
angles (deg): 60.00 60.00 60.00
With the nearest neighbours (Å) after each atom.
Positions (direct):
Be: 0.2500 0.2500 0.2500  4 Hf 2.64
Hf: 0.0000 0.0000 0.0000  4 Be 2.64, 4 Re 2.64
Re: 0.7500 0.7500 0.7500  4 Hf 2.64

***

Tm3Ni2Sn3Ir: optimized geometry, GGA-PBE.

Electronic total energy: -51.886 eV per cell
M_tot: 0.0 μB/f.u.

a b c (Å): 7.2955 7.2955 3.9339
angles (deg): 90.00 90.00 120.00
With the nearest neighbours (Å) after each atom.
Positions (direct):
Ir: 0.0000 0.0000 0.0000  6 Sn 2.77, 3 Tm 2.95
Ni: 0.6667 0.3333 0.5000  3 Sn 2.71, 6 Tm 2.96
Ni: 0.3333 0.6667 0.5000  3 Sn 2.71, 6 Tm 2.96
Sn: 0.7332 0.0000 0.5000  2 Ni 2.71, 2 Ir 2.77
Sn: 0.2668 0.2668 0.5000  2 Ni 2.71, 2 Ir 2.77
Sn: 0.0000 0.7332 0.5000  2 Ni 2.71, 2 Ir 2.77
Tm: 0.4046 0.0000 0.0000  1 Ir 2.95, 4 Ni 2.96, 6 Sn 3.10-3.26
Tm: 0.0000 0.4046 0.0000  1 Ir 2.95, 4 Ni 2.96, 6 Sn 3.10-3.26
Tm: 0.5954 0.5954 0.0000  1 Ir 2.95, 4 Ni 2.96, 6 Sn 3.10-3.26